! AcZrIn | OQMD | PBE | optimized geometry; values from VASP
! Total DFT energy (no corrections) = -14.5 eV for the cell shown
! Distance to the lowest polymorph of the same formula = 0.000 eV per atom
! SG = F-43m
&SYSTEM
  ibrav = 0, nat = 3, ntyp = 3
/
ATOMIC_SPECIES
Ac 227.00 Ac.upf
Zr 91.22 Zr.upf
In 114.82 In.upf
CELL_PARAMETERS angstrom
0.0000 3.7025 3.7025
3.7025 0.0000 3.7025
3.7025 3.7025 0.0000
ATOMIC_POSITIONS angstrom
Ac 0.0000 0.0000 0.0000
Zr 3.7025 3.7025 3.7025
In 1.8512 1.8512 1.8512